1.
ZnSbS2 | PBE-GGA | optimized geometry

Lattice parameters (Å, degrees): 4.748 4.748 4.748 60.00 60.00 60.00
Atoms (fractional coordinates):
1 Sb 0.500 0.500 0.500
2 Zn 0.000 0.000 0.000
3 S 0.250 0.250 0.250
4 S 0.750 0.750 0.750

* space group: No. 225
* E_form (uncorrected): 0.122 eV per atom
* calculated total energy: -3.291 eV/atom
* polymorph energy (0 for the lowest one): 289 meV/atom
* total magnetization: 0.00 μB per cell

=====

2.
RbYZnCl6 | PBE-GGA | optimized geometry

Lattice parameters (Å, degrees): 6.749 6.749 14.652 90.00 90.00 120.00
Atoms (fractional coordinates):
1 Rb 0.000 0.000 0.000
2 Rb 0.000 0.000 0.500
3 Y 0.333 0.667 0.250
4 Y 0.667 0.333 0.750
5 Zn 0.667 0.333 0.250
6 Zn 0.333 0.667 0.750
7 Cl 0.633 0.615 0.149
8 Cl 0.983 0.367 0.149
9 Cl 0.367 0.983 0.649
10 Cl 0.017 0.633 0.851
11 Cl 0.385 0.367 0.351
12 Cl 0.983 0.615 0.351
13 Cl 0.615 0.983 0.851
14 Cl 0.633 0.017 0.351
15 Cl 0.017 0.385 0.649
16 Cl 0.385 0.017 0.149
17 Cl 0.615 0.633 0.649
18 Cl 0.367 0.385 0.851

* space group: No. 163
* E_form (uncorrected): -1.833 eV per atom
* calculated total energy: -4.031 eV/atom
* total magnetization: 0.00 μB per cell

=====

3.
Cs2AgI6Cl | PBE-GGA | optimized geometry

Lattice parameters (Å, degrees): 8.648 8.648 8.645 59.99 59.99 90.00
Atoms (fractional coordinates):
1 Cs 0.750 0.250 0.500
2 Cs 0.250 0.750 0.500
3 I 0.280 0.280 0.440
4 I 0.720 0.720 0.560
5 I 0.221 0.221 0.000
6 I 0.779 0.779 0.000
7 I 0.779 0.221 0.000
8 I 0.221 0.779 0.000
9 Ag 0.000 0.000 0.000
10 Cl 0.500 0.500 0.000

* space group: No. 139
* E_form (uncorrected): -0.642 eV per atom
* calculated total energy: -2.212 eV/atom
* total magnetization: 0.00 μB per cell